Density functional theory data (PBE-GGA) for crystalline BeCu3 at its relaxed geometry.

The structure in POSCAR format:
```
BeCu3
1.0
2.481 0.000 0.000
0.000 2.440 0.000
0.000 0.000 7.644
Be Cu
1 3
Direct
0.000 0.000 0.972
0.000 0.500 0.466
0.500 0.500 0.177
0.500 0.000 0.718
```

Properties
size of the total moment	0.00	μB per atom
E_tot	-15.4	eV per cell
E_form	0.14	eV per atom
ρ	7.17	g/cm3
SG	Pmm2 (25)